A relaxed NaCrRhSe3 crystal, computed with PBE. Values from VASP.

Raw formation energy ... -559.1 meV per atom
D(E_F) ... 0.296 states/eV/atom
Calculated total energy ... -5.350 eV/atom

Quantum ESPRESSO input file:
```
&SYSTEM
  ibrav = 0, nat = 12, ntyp = 4
/
ATOMIC_SPECIES
Se 78.96 Se.upf
Cr 52.00 Cr.upf
Na 22.99 Na.upf
Rh 102.91 Rh.upf
CELL_PARAMETERS angstrom
-2.6233 -2.4532 -0.7527
5.1227 -5.6985 0.7193
-3.6804 1.4199 8.1990
ATOMIC_POSITIONS angstrom
Se -0.1767 -4.1725 0.7969
Se -3.2765 -0.0117 6.9843
Se -2.5222 -2.7088 4.2005
Se 1.3412 -4.0231 3.9651
Se 2.0955 -6.7202 1.1813
Se -1.0042 -2.5594 7.3687
Cr 2.2084 -4.2558 1.7015
Cr -3.3893 -2.4760 6.4641
Na -0.4927 -1.4866 2.0898
Na -0.6882 -5.2452 6.0758
Rh -2.3025 -0.3730 4.7677
Rh 1.1216 -6.3588 3.3979
```



A relaxed Na2CrRh2Se6 crystal, computed with PBE. Values from VASP.

Raw formation energy ... -624.4 meV per atom
D(E_F) ... 0.726 states/eV/atom
Calculated total energy ... -4.976 eV/atom

Quantum ESPRESSO input file:
```
&SYSTEM
  ibrav = 0, nat = 11, ntyp = 4
/
ATOMIC_SPECIES
Se 78.96 Se.upf
Na 22.99 Na.upf
Rh 102.91 Rh.upf
Cr 52.00 Cr.upf
CELL_PARAMETERS angstrom
6.4040 -0.0400 0.0514
-3.2000 5.5473 0.0514
-1.1524 -1.9809 6.9768
ATOMIC_POSITIONS angstrom
Se 3.7221 2.6792 2.2251
Se 1.5423 2.6510 4.9254
Se 1.5622 -1.0335 4.8546
Se 0.4894 4.5599 2.2251
Se -1.6706 0.8472 4.8546
Se 0.5093 0.8754 2.1543
Na 4.7994 0.8935 0.0514
Na -1.5954 4.6138 0.0514
Rh 2.6229 0.8341 3.5398
Rh -0.5713 2.6923 3.5398
Cr -0.5762 -0.9904 3.4884
```